# 1
# PBE+U NiPb2IO8, optimized geometry
# * final energy: -4.9007 eV per atom
# * total magnetization: 1.99 μB per formula unit
data_NiPb2IO8
_cell_length_a 4.9482
_cell_length_b 6.6194
_cell_length_c 4.9533
_cell_angle_alpha 90.00
_cell_angle_beta 91.38
_cell_angle_gamma 90.00
_symmetry_space_group_name_H-M 'P 1 2/m 1'
_symmetry_Int_Tables_number 10
_symmetry_space_group_name_Hall '-P 2y'
loop_
_atom_site_label
_atom_site_type_symbol
_atom_site_fract_x
_atom_site_fract_y
_atom_site_fract_z
Ni1 Ni 0.0000 0.0000 0.0000
Pb1 Pb 0.5000 0.2414 0.5000
I1 I 0.0000 0.5000 0.0000
O1 O 0.1808 0.2741 0.8206
O2 O 0.2885 0.5000 0.2901
O3 O 0.2913 0.0000 0.2927

# 2
# PBE+U NiPdIO2, optimized geometry
# * final energy: -3.6307 eV per atom
# * total magnetization: 3.28 μB per formula unit
# * distance to the lowest polymorph of the same formula: 0 meV per atom
data_NiPdIO2
_cell_length_a 3.7308
_cell_length_b 3.7308
_cell_length_c 7.0619
_cell_angle_alpha 90.00
_cell_angle_beta 90.00
_cell_angle_gamma 90.00
_symmetry_space_group_name_H-M 'P 4/m m m'
_symmetry_Int_Tables_number 123
_symmetry_space_group_name_Hall '-P 4 2'
loop_
_atom_site_label
_atom_site_type_symbol
_atom_site_fract_x
_atom_site_fract_y
_atom_site_fract_z
Ni1 Ni 0.0000 0.0000 0.0000
Pd1 Pd 0.5000 0.5000 0.5000
I1 I 0.0000 0.0000 0.5000
O1 O 0.0000 0.5000 0.0000

# 3
# PBE+U NiPdIO2, optimized geometry
# * final energy: -3.6122 eV per atom
# * total magnetization: 3.07 μB per formula unit
# * distance to the lowest polymorph of the same formula: 19 meV per atom
data_NiPdIO2
_cell_length_a 3.8439
_cell_length_b 3.8439
_cell_length_c 7.5461
_cell_angle_alpha 90.00
_cell_angle_beta 90.00
_cell_angle_gamma 90.00
_symmetry_space_group_name_H-M 'P 4/m m m'
_symmetry_Int_Tables_number 123
_symmetry_space_group_name_Hall '-P 4 2'
loop_
_atom_site_label
_atom_site_type_symbol
_atom_site_fract_x
_atom_site_fract_y
_atom_site_fract_z
Ni1 Ni 0.0000 0.0000 0.0000
Pd1 Pd 0.5000 0.5000 0.5000
I1 I 0.5000 0.5000 0.0000
O1 O 0.0000 0.5000 0.5000

# 4
# PBE+U PmNiIO6, optimized geometry
# * final energy: -5.7427 eV per atom
# * total magnetization: 2.00 μB per formula unit
data_PmNiIO6
_cell_length_a 5.2240
_cell_length_b 5.2240
_cell_length_c 5.0367
_cell_angle_alpha 90.00
_cell_angle_beta 90.00
_cell_angle_gamma 120.00
_symmetry_space_group_name_H-M 'P 3 1 2'
_symmetry_Int_Tables_number 149
_symmetry_space_group_name_Hall 'P 3 2'
loop_
_atom_site_label
_atom_site_type_symbol
_atom_site_fract_x
_atom_site_fract_y
_atom_site_fract_z
Pm1 Pm 0.0000 0.0000 0.0000
Ni1 Ni 0.6667 0.3333 0.5000
I1 I 0.3333 0.6667 0.5000
O1 O 0.0249 0.3760 0.2848

# 5
# PBE+U PrNiIO6, optimized geometry
# * final energy: -5.7333 eV per atom
# * total magnetization: 2.00 μB per formula unit
data_PrNiIO6
_cell_length_a 5.2437
_cell_length_b 5.2437
_cell_length_c 5.1249
_cell_angle_alpha 90.00
_cell_angle_beta 90.00
_cell_angle_gamma 120.00
_symmetry_space_group_name_H-M 'P 3 1 2'
_symmetry_Int_Tables_number 149
_symmetry_space_group_name_Hall 'P 3 2'
loop_
_atom_site_label
_atom_site_type_symbol
_atom_site_fract_x
_atom_site_fract_y
_atom_site_fract_z
Pr1 Pr 0.0000 0.0000 0.0000
Ni1 Ni 0.3333 0.6667 0.5000
I1 I 0.6667 0.3333 0.5000
O1 O 0.3789 0.0251 0.7120

# 6
# PBE+U NiPtIO2, optimized geometry
# * final energy: -3.9443 eV per atom
# * total magnetization: 1.11 μB per formula unit
# * distance to the lowest polymorph of the same formula: 0 meV per atom
data_NiPtIO2
_cell_length_a 3.7841
_cell_length_b 3.7841
_cell_length_c 8.1411
_cell_angle_alpha 90.00
_cell_angle_beta 90.00
_cell_angle_gamma 90.00
_symmetry_space_group_name_H-M 'P 4/m m m'
_symmetry_Int_Tables_number 123
_symmetry_space_group_name_Hall '-P 4 2'
loop_
_atom_site_label
_atom_site_type_symbol
_atom_site_fract_x
_atom_site_fract_y
_atom_site_fract_z
Ni1 Ni 0.0000 0.0000 0.0000
Pt1 Pt 0.5000 0.5000 0.5000
I1 I 0.5000 0.5000 0.0000
O1 O 0.0000 0.5000 0.5000

# 7
# PBE+U NiPtI2O, optimized geometry
# * final energy: -2.7568 eV per atom
# * total magnetization: 1.66 μB per formula unit
# * distance to the lowest polymorph of the same formula: 109 meV per atom
data_NiPtI2O
_cell_length_a 5.6377
_cell_length_b 5.6377
_cell_length_c 3.8045
_cell_angle_alpha 90.00
_cell_angle_beta 90.00
_cell_angle_gamma 90.00
_symmetry_space_group_name_H-M 'P 4/m m m'
_symmetry_Int_Tables_number 123
_symmetry_space_group_name_Hall '-P 4 2'
loop_
_atom_site_label
_atom_site_type_symbol
_atom_site_fract_x
_atom_site_fract_y
_atom_site_fract_z
Ni1 Ni 0.0000 0.0000 0.0000
Pt1 Pt 0.5000 0.5000 0.5000
I1 I 0.0000 0.5000 0.5000
O1 O 0.5000 0.5000 0.0000

# 8
# PBE+U NiPtI2O, optimized geometry
# * final energy: -2.8656 eV per atom
# * total magnetization: 2.17 μB per formula unit
# * distance to the lowest polymorph of the same formula: 0 meV per atom
data_NiPtI2O
_cell_length_a 5.4504
_cell_length_b 5.4504
_cell_length_c 3.4902
_cell_angle_alpha 90.00
_cell_angle_beta 90.00
_cell_angle_gamma 90.00
_symmetry_space_group_name_H-M 'P 4/m m m'
_symmetry_Int_Tables_number 123
_symmetry_space_group_name_Hall '-P 4 2'
loop_
_atom_site_label
_atom_site_type_symbol
_atom_site_fract_x
_atom_site_fract_y
_atom_site_fract_z
Ni1 Ni 0.0000 0.0000 0.0000
Pt1 Pt 0.5000 0.5000 0.5000
I1 I 0.0000 0.5000 0.0000
O1 O 0.0000 0.0000 0.5000

# 9
# PBE+U NiPtIO2, optimized geometry
# * final energy: -3.6422 eV per atom
# * total magnetization: 3.32 μB per formula unit
# * distance to the lowest polymorph of the same formula: 302 meV per atom
data_NiPtIO2
_cell_length_a 3.7274
_cell_length_b 3.7274
_cell_length_c 7.2475
_cell_angle_alpha 90.00
_cell_angle_beta 90.00
_cell_angle_gamma 90.00
_symmetry_space_group_name_H-M 'P 4/m m m'
_symmetry_Int_Tables_number 123
_symmetry_space_group_name_Hall '-P 4 2'
loop_
_atom_site_label
_atom_site_type_symbol
_atom_site_fract_x
_atom_site_fract_y
_atom_site_fract_z
Ni1 Ni 0.0000 0.0000 0.0000
Pt1 Pt 0.5000 0.5000 0.5000
I1 I 0.0000 0.0000 0.5000
O1 O 0.0000 0.5000 0.0000

# 10
# PBE+U PuNi2IO6, optimized geometry
# * final energy: -6.0436 eV per atom
# * total magnetization: 4.97 μB per formula unit
data_PuNi2IO6
_cell_length_a 6.0657
_cell_length_b 6.0657
_cell_length_c 4.2029
_cell_angle_alpha 90.00
_cell_angle_beta 90.00
_cell_angle_gamma 90.00
_symmetry_space_group_name_H-M 'P 4 m m'
_symmetry_Int_Tables_number 99
_symmetry_space_group_name_Hall 'P 4 -2'
loop_
_atom_site_label
_atom_site_type_symbol
_atom_site_fract_x
_atom_site_fract_y
_atom_site_fract_z
Pu1 Pu 0.0000 0.0000 0.0000
Ni1 Ni 0.0000 0.5000 0.9831
I1 I 0.5000 0.5000 0.0126
O1 O 0.0000 0.0000 0.4976
O2 O 0.2559 0.2559 0.9954
O3 O 0.5000 0.5000 0.4384

# 11
# PBE+U PuNiIO6, optimized geometry
# * final energy: -6.5725 eV per atom
# * total magnetization: 1.00 μB per formula unit
data_PuNiIO6
_cell_length_a 5.5526
_cell_length_b 5.5526
_cell_length_c 8.8915
_cell_angle_alpha 90.00
_cell_angle_beta 90.00
_cell_angle_gamma 120.00
_symmetry_space_group_name_H-M 'P -3 1 c'
_symmetry_Int_Tables_number 163
_symmetry_space_group_name_Hall '-P 3 2c'
loop_
_atom_site_label
_atom_site_type_symbol
_atom_site_fract_x
_atom_site_fract_y
_atom_site_fract_z
Pu1 Pu 0.3333 0.6667 0.2500
Ni1 Ni 0.0000 0.0000 0.0000
I1 I 0.3333 0.6667 0.7500
O1 O 0.0043 0.3399 0.6281

# 12
# PBE+U Rb2NiI6O, optimized geometry
# * final energy: -2.3069 eV per atom
# * total magnetization: 1.70 μB per formula unit
data_Rb2NiI6O
_cell_length_a 7.6464
_cell_length_b 7.6464
_cell_length_c 12.4212
_cell_angle_alpha 90.00
_cell_angle_beta 90.00
_cell_angle_gamma 90.00
_symmetry_space_group_name_H-M 'I 4/m m m'
_symmetry_Int_Tables_number 139
_symmetry_space_group_name_Hall '-I 4 2'
loop_
_atom_site_label
_atom_site_type_symbol
_atom_site_fract_x
_atom_site_fract_y
_atom_site_fract_z
Rb1 Rb 0.0000 0.5000 0.2500
Ni1 Ni 0.0000 0.0000 0.0000
I1 I 0.0000 0.0000 0.2089
I2 I 0.2266 0.2266 0.5000
O1 O 0.0000 0.0000 0.5000